(w)
Material: Mn2CoC
Method: DFT, GGA-PBE
State: relaxed

## Properties
- Density of states at the Fermi level: 6.04 states/eV/f.u.
- Space group: I-42d (122)

Lattice parameters (Å, degrees): 6.284 6.284 4.016 90.00 90.00 90.00
Positions (direct):
Mn 0.156 0.750 0.125
Mn 0.250 0.156 0.875
Mn 0.250 0.344 0.375
Mn 0.344 0.750 0.625
Mn 0.656 0.250 0.625
Mn 0.750 0.656 0.375
Mn 0.750 0.844 0.875
Mn 0.844 0.250 0.125
Co 0.000 0.000 0.500
Co 0.000 0.500 0.750
Co 0.500 0.000 0.250
Co 0.500 0.500 0.000
C 0.000 0.000 0.000
C 0.000 0.500 0.250
C 0.500 0.000 0.750
C 0.500 0.500 0.500


(x)
Material: Mn2CoC
Method: DFT, GGA-PBE
State: relaxed

## Properties
- Density of states at the Fermi level: 4.47 states/eV/f.u.
- Space group: R3m (160)

Lattice parameters (Å, degrees): 2.742 2.742 18.669 90.00 90.00 120.00
Positions (direct):
Mn 0.000 0.000 0.000
Mn 0.000 0.000 0.213
Mn 0.333 0.667 0.667
Mn 0.333 0.667 0.879
Mn 0.667 0.333 0.333
Mn 0.667 0.333 0.546
Co 0.000 0.000 0.441
Co 0.333 0.667 0.107
Co 0.667 0.333 0.774
C 0.000 0.000 0.605
C 0.333 0.667 0.272
C 0.667 0.333 0.938


(y)
Material: Mn2CoC
Method: DFT, GGA-PBE
State: relaxed

## Properties
- Density of states at the Fermi level: 5.32 states/eV/f.u.
- Space group: R-3m (166)

Lattice parameters (Å, degrees): 4.041 4.041 8.416 90.00 90.00 120.00
Positions (direct):
Mn 0.000 0.000 0.225
Mn 0.000 0.000 0.775
Mn 0.333 0.667 0.442
Mn 0.333 0.667 0.891
Mn 0.667 0.333 0.109
Mn 0.667 0.333 0.558
Co 0.000 0.000 0.500
Co 0.333 0.667 0.167
Co 0.667 0.333 0.833
C 0.000 0.000 0.000
C 0.333 0.667 0.667
C 0.667 0.333 0.333


Most stable: (x). Least stable: (y).


(w)
Material: Mn3CoC
Method: DFT, GGA-PBE
State: relaxed

## Properties
- Density of states at the Fermi level: 6.13 states/eV/f.u.
- Space group: Pm-3m (221)

Lattice parameters (Å, degrees): 3.743 3.743 3.743 90.00 90.00 90.00
Positions (direct):
Mn 0.000 0.000 0.500
Mn 0.000 0.500 0.000
Mn 0.500 0.000 0.000
Co 0.500 0.500 0.500
C 0.000 0.000 0.000


(x)
Material: Mn3CoC
Method: DFT, GGA-PBE
State: relaxed

## Properties
- Density of states at the Fermi level: 10.37 states/eV/f.u.
- Space group: Pm-3m (221)

Lattice parameters (Å, degrees): 4.112 4.112 4.112 90.00 90.00 90.00
Positions (direct):
Mn 0.000 0.000 0.500
Mn 0.000 0.500 0.000
Mn 0.500 0.000 0.000
Co 0.000 0.000 0.000
C 0.500 0.500 0.500


Most stable: (w). Least stable: (x).


(w)
Material: Y2MnCoC
Method: DFT, GGA-PBE
State: relaxed

## Properties
- Density of states at the Fermi level: 3.91 states/eV/f.u.
- Space group: P4/mmm (123)

Lattice parameters (Å, degrees): 5.014 5.014 3.622 90.00 90.00 90.00
Positions (direct):
Y 0.000 0.500 0.000
Y 0.500 0.000 0.000
Mn 0.000 0.000 0.500
Co 0.500 0.500 0.500
C 0.500 0.500 0.000


(x)
Material: Y2MnCoC
Method: DFT, GGA-PBE
State: relaxed

## Properties
- Density of states at the Fermi level: 4.87 states/eV/f.u.
- Space group: P4/mmm (123)

Lattice parameters (Å, degrees): 4.931 4.931 3.717 90.00 90.00 90.00
Positions (direct):
Y 0.000 0.500 0.000
Y 0.500 0.000 0.000
Mn 0.000 0.000 0.500
Co 0.500 0.500 0.500
C 0.000 0.000 0.000


Most stable: (w). Least stable: (x).


(w)
Material: Co3MoC
Method: DFT, GGA-PBE
State: relaxed

## Properties
- Density of states at the Fermi level: 6.57 states/eV/f.u.
- Space group: Pm-3m (221)

Lattice parameters (Å, degrees): 4.385 4.385 4.385 90.00 90.00 90.00
Positions (direct):
Co 0.000 0.000 0.500
Co 0.000 0.500 0.000
Co 0.500 0.000 0.000
Mo 0.000 0.000 0.000
C 0.500 0.500 0.500


(x)
Material: Co3MoC
Method: DFT, GGA-PBE
State: relaxed

## Properties
- Density of states at the Fermi level: 4.93 states/eV/f.u.
- Space group: Pm-3m (221)

Lattice parameters (Å, degrees): 3.800 3.800 3.800 90.00 90.00 90.00
Positions (direct):
Co 0.000 0.000 0.500
Co 0.000 0.500 0.000
Co 0.500 0.000 0.000
Mo 0.500 0.500 0.500
C 0.000 0.000 0.000


Most stable: (x). Least stable: (w).


(w)
Material: CoMoC3
Method: DFT, GGA-PBE
State: relaxed

## Properties
- Density of states at the Fermi level: 6.26 states/eV/f.u.
- Space group: Pm-3m (221)

Lattice parameters (Å, degrees): 3.666 3.666 3.666 90.00 90.00 90.00
Positions (direct):
Co 0.000 0.000 0.000
Mo 0.500 0.500 0.500
C 0.000 0.000 0.500
C 0.000 0.500 0.000
C 0.500 0.000 0.000


(x)
Material: CoMoC3
Method: DFT, GGA-PBE
State: relaxed

## Properties
- Density of states at the Fermi level: 4.63 states/eV/f.u.
- Space group: Pm-3m (221)

Lattice parameters (Å, degrees): 4.047 4.047 4.047 90.00 90.00 90.00
Positions (direct):
Co 0.000 0.000 0.000
Mo 0.500 0.500 0.500
C 0.000 0.500 0.500
C 0.500 0.000 0.500
C 0.500 0.500 0.000


Most stable: (w). Least stable: (x).


(w)
Material: Co2C3N6
Method: DFT, GGA-PBE
State: relaxed

## Properties
- Density of states at the Fermi level: 2.75 states/eV/f.u.
- Space group: C2/m (12)

Lattice parameters (Å, degrees): 8.066 8.066 5.017 100.34 100.34 21.25
Positions (direct):
Co 0.171 0.171 0.354
Co 0.829 0.829 0.646
C 0.000 0.000 0.500
C 0.324 0.324 0.151
C 0.676 0.676 0.849
N 0.055 0.055 0.356
N 0.300 0.300 0.380
N 0.338 0.338 0.923
N 0.662 0.662 0.077
N 0.700 0.700 0.620
N 0.945 0.945 0.644


(x)
Material: Co2C3N6
Method: DFT, GGA-PBE
State: relaxed

## Properties
- Space group: R-3c (167)

Lattice parameters (Å, degrees): 9.616 9.616 9.616 31.79 31.79 31.79
Positions (direct):
Co 0.165 0.165 0.165
Co 0.335 0.335 0.335
Co 0.665 0.665 0.665
Co 0.835 0.835 0.835
C 0.071 0.750 0.429
C 0.250 0.571 0.929
C 0.429 0.071 0.750
C 0.571 0.929 0.250
C 0.750 0.429 0.071
C 0.929 0.250 0.571
N 0.043 0.659 0.415
N 0.085 0.841 0.457
N 0.159 0.543 0.915
N 0.341 0.585 0.957
N 0.415 0.043 0.659
N 0.457 0.085 0.841
N 0.543 0.915 0.159
N 0.585 0.957 0.341
N 0.659 0.415 0.043
N 0.841 0.457 0.085
N 0.915 0.159 0.543
N 0.957 0.341 0.585


Most stable: (x). Least stable: (w).


(w)
Material: CoC3N
Method: DFT, GGA-PBE
State: relaxed

## Properties
- Density of states at the Fermi level: 0.76 states/eV/f.u.
- Space group: Pm-3m (221)

Lattice parameters (Å, degrees): 3.639 3.639 3.639 90.00 90.00 90.00
Positions (direct):
Co 0.000 0.000 0.000
C 0.000 0.000 0.500
C 0.000 0.500 0.000
C 0.500 0.000 0.000
N 0.500 0.500 0.500


(x)
Material: CoC3N
Method: DFT, GGA-PBE
State: relaxed

## Properties
- Density of states at the Fermi level: 3.14 states/eV/f.u.
- Space group: Pm-3m (221)

Lattice parameters (Å, degrees): 3.350 3.350 3.350 90.00 90.00 90.00
Positions (direct):
Co 0.000 0.000 0.000
C 0.000 0.500 0.500
C 0.500 0.000 0.500
C 0.500 0.500 0.000
N 0.500 0.500 0.500


Most stable: (w). Least stable: (x).


(w)
Material: CoC2N2
Method: DFT, GGA-PBE
State: relaxed

## Properties
- Density of states at the Fermi level: 1.96 states/eV/f.u.
- Space group: Cmce (64)

Lattice parameters (Å, degrees): 4.865 4.865 13.968 90.00 90.00 90.77
Positions (direct):
Co 0.020 0.980 0.895
Co 0.480 0.520 0.395
Co 0.520 0.480 0.605
Co 0.980 0.020 0.105
C 0.015 0.355 0.891
C 0.145 0.485 0.609
C 0.355 0.015 0.109
C 0.485 0.145 0.391
C 0.515 0.855 0.609
C 0.645 0.985 0.891
C 0.855 0.515 0.391
C 0.985 0.645 0.109
N 0.014 0.596 0.889
N 0.096 0.514 0.389
N 0.404 0.986 0.889
N 0.486 0.904 0.389
N 0.514 0.096 0.611
N 0.596 0.014 0.111
N 0.904 0.486 0.611
N 0.986 0.404 0.111


(x)
Material: CoC2N2
Method: DFT, GGA-PBE
State: relaxed

## Properties
- Space group: P-43m (215)

Lattice parameters (Å, degrees): 5.767 5.767 5.767 90.00 90.00 90.00
Positions (direct):
Co 0.000 0.000 0.000
Co 0.500 0.500 0.500
C 0.191 0.191 0.191
C 0.191 0.809 0.809
C 0.809 0.191 0.809
C 0.809 0.809 0.191
N 0.309 0.309 0.309
N 0.309 0.691 0.691
N 0.691 0.309 0.691
N 0.691 0.691 0.309


Most stable: (w). Least stable: (x).


(w)
Material: CoCSN2
Method: DFT, GGA-PBE
State: relaxed

## Properties
- Density of states at the Fermi level: 3.54 states/eV/f.u.
- Space group: P4/mmm (123)

Lattice parameters (Å, degrees): 3.361 3.361 3.978 90.00 90.00 90.00
Positions (direct):
Co 0.000 0.000 0.000
C 0.500 0.500 0.500
S 0.500 0.500 0.000
N 0.000 0.500 0.500
N 0.500 0.000 0.500


(x)
Material: CoCSN2
Method: DFT, GGA-PBE
State: relaxed

## Properties
- Density of states at the Fermi level: 2.33 states/eV/f.u.
- Space group: P4/mmm (123)

Lattice parameters (Å, degrees): 3.348 3.348 7.240 90.00 90.00 90.00
Positions (direct):
Co 0.000 0.000 0.000
C 0.500 0.500 0.500
S 0.000 0.000 0.500
N 0.000 0.500 0.000
N 0.500 0.000 0.000


Most stable: (x). Least stable: (w).


(w)
Material: CoCSeN
Method: DFT, GGA-PBE
State: relaxed

## Properties
- Density of states at the Fermi level: 3.10 states/eV/f.u.
- Space group: P1 (1)

Lattice parameters (Å, degrees): 2.408 4.282 6.818 100.61 91.69 106.29
Positions (direct):
Co 0.000 0.000 0.000
C 0.232 0.447 0.099
Se 0.029 0.110 0.686
N 0.821 0.622 0.124


(x)
Material: CoCSeN
Method: DFT, GGA-PBE
State: relaxed

## Properties
- Density of states at the Fermi level: 2.08 states/eV/f.u.
- Space group: Cm (8)

Lattice parameters (Å, degrees): 6.951 3.445 5.686 90.00 122.41 90.00
Positions (direct):
Co 0.000 0.000 0.000
Co 0.500 0.500 0.000
C 0.160 0.000 0.402
C 0.660 0.500 0.402
Se 0.239 0.000 0.801
Se 0.739 0.500 0.801
N 0.303 0.000 0.338
N 0.803 0.500 0.338


(y)
Material: CoCSeN
Method: DFT, GGA-PBE
State: relaxed

## Properties
- Space group: P1 (1)

Lattice parameters (Å, degrees): 3.293 3.588 6.426 101.61 90.75 117.32
Positions (direct):
Co 0.000 0.000 0.000
C 0.786 0.565 0.137
Se 0.281 0.572 0.794
N 0.639 0.266 0.222


Most stable: (y). Least stable: (x).


(w)
Material: NaCoC
Method: DFT, GGA-PBE
State: relaxed

## Properties
- Density of states at the Fermi level: 0.72 states/eV/f.u.
- Space group: R3m (160)

Lattice parameters (Å, degrees): 3.053 3.053 14.786 90.00 90.00 120.00
Positions (direct):
Na 0.000 0.000 0.000
Na 0.333 0.667 0.667
Na 0.667 0.333 0.333
Co 0.000 0.000 0.497
Co 0.333 0.667 0.163
Co 0.667 0.333 0.830
C 0.000 0.000 0.800
C 0.333 0.667 0.467
C 0.667 0.333 0.133


(x)
Material: NaCoC
Method: DFT, GGA-PBE
State: relaxed

## Properties
- Density of states at the Fermi level: 1.61 states/eV/f.u.
- Space group: P-1 (2)

Lattice parameters (Å, degrees): 3.730 3.730 8.207 92.14 92.41 105.32
Positions (direct):
Na 0.228 0.226 0.311
Na 0.772 0.774 0.689
Co 0.300 0.700 0.000
Co 0.700 0.300 0.000
C 0.167 0.167 0.996
C 0.833 0.833 0.004


(y)
Material: NaCoC
Method: DFT, GGA-PBE
State: relaxed

## Properties
- Density of states at the Fermi level: 0.64 states/eV/f.u.
- Space group: P3m1 (156)

Lattice parameters (Å, degrees): 3.059 3.059 4.917 90.00 90.00 120.00
Positions (direct):
Na 0.000 0.000 0.000
Co 0.667 0.333 0.488
C 0.333 0.667 0.401


(z)
Material: NaCoC
Method: DFT, GGA-PBE
State: relaxed

## Properties
- Density of states at the Fermi level: 0.71 states/eV/f.u.
- Space group: P4/nmm (129)

Lattice parameters (Å, degrees): 3.382 3.382 8.211 90.00 90.00 90.00
Positions (direct):
Na 0.250 0.250 0.196
Na 0.750 0.750 0.804
Co 0.250 0.750 0.500
Co 0.750 0.250 0.500
C 0.250 0.250 0.608
C 0.750 0.750 0.392


Most stable: (z). Least stable: (y).